No. 1
MgZr: relaxed, PBE.

Values from the calculation:
Size of the total moment (μB per atom): 0.431
ρ (g/cm3): 2.2
SG: Pm-3n
Energy of formation (eV/f.u.): 4.1
E (Ha/atom): -0.111

abc: 8.072 8.072 8.072
angles: 90.00 90.00 90.00
Atoms (fractional coordinates):
Mg 0.000 0.250 0.500
Mg 0.000 0.750 0.500
Mg 0.250 0.500 0.000
Mg 0.500 0.000 0.250
Mg 0.500 0.000 0.750
Mg 0.750 0.500 0.000
Zr 0.000 0.500 0.250
Zr 0.000 0.500 0.750
Zr 0.250 0.000 0.500
Zr 0.500 0.250 0.000
Zr 0.500 0.750 0.000
Zr 0.750 0.000 0.500



No. 2
MgZr: relaxed, PBE.

Values from the calculation:
Size of the total moment (μB per atom): 0.000
ρ (g/cm3): 4.1
SG: P6_3/mmc
Energy of formation (eV/f.u.): 0.7
E (Ha/atom): -0.174

abc: 4.870 4.870 9.186
angles: 90.00 90.00 120.00
Atoms (fractional coordinates):
Mg 0.000 0.000 0.250
Mg 0.000 0.000 0.750
Mg 0.333 0.667 0.250
Mg 0.667 0.333 0.750
Zr 0.333 0.667 0.592
Zr 0.333 0.667 0.908
Zr 0.667 0.333 0.092
Zr 0.667 0.333 0.408



No. 3
Mg5Zr3: relaxed, PBE.

Values from the calculation:
Size of the total moment (μB per atom): 0.000
ρ (g/cm3): 3.7
SG: C2/m
ΔE to the lowest computed polymorph (eV per formula unit): 1.41
Energy of formation (eV/f.u.): 1.4
E (Ha/atom): -0.148

abc: 8.538 8.538 8.468
angles: 95.83 95.83 142.27
Atoms (fractional coordinates):
Mg 0.080 0.745 0.812
Mg 0.255 0.920 0.188
Mg 0.262 0.262 0.024
Mg 0.288 0.478 0.658
Mg 0.478 0.288 0.658
Mg 0.522 0.712 0.342
Mg 0.712 0.522 0.342
Mg 0.738 0.738 0.976
Mg 0.745 0.080 0.812
Mg 0.920 0.255 0.188
Zr 0.101 0.101 0.354
Zr 0.240 0.760 0.500
Zr 0.323 0.677 0.000
Zr 0.677 0.323 0.000
Zr 0.760 0.240 0.500
Zr 0.899 0.899 0.646



No. 4
Mg7Zr: relaxed, PBE.

Values from the calculation:
Size of the total moment (μB per atom): 0.179
ρ (g/cm3): 2.4
SG: Fm-3m
ΔE to the lowest computed polymorph (eV per formula unit): 0.29
Energy of formation (eV/f.u.): 0.3
E (Ha/atom): -0.089

abc: 6.371 6.371 6.371
angles: 60.00 60.00 60.00
Atoms (fractional coordinates):
Mg 0.000 0.000 0.000
Mg 0.000 0.000 0.500
Mg 0.000 0.500 0.000
Mg 0.000 0.500 0.500
Mg 0.500 0.000 0.000
Mg 0.500 0.000 0.500
Mg 0.500 0.500 0.000
Zr 0.500 0.500 0.500



No. 5
Mg4Zr3: relaxed, PBE.

Values from the calculation:
Size of the total moment (μB per atom): 0.000
ρ (g/cm3): 3.7
SG: P6/mmm
ΔE to the lowest computed polymorph (eV per formula unit): 1.00
Energy of formation (eV/f.u.): 0.9
E (Ha/atom): -0.163

abc: 5.730 5.730 5.848
angles: 90.00 90.00 120.00
Atoms (fractional coordinates):
Mg 0.000 0.000 0.248
Mg 0.000 0.000 0.752
Mg 0.333 0.667 0.500
Mg 0.667 0.333 0.500
Zr 0.000 0.500 0.000
Zr 0.500 0.000 0.000
Zr 0.500 0.500 0.000



No. 6
Mg2Zr: relaxed, PBE.

Values from the calculation:
Size of the total moment (μB per atom): 0.382
ρ (g/cm3): 3.5
SG: Fd-3m
Energy of formation (eV/f.u.): 0.4
E (Ha/atom): -0.139

abc: 5.729 5.729 5.729
angles: 60.00 60.00 60.00
Atoms (fractional coordinates):
Mg 0.000 0.000 0.000
Mg 0.000 0.000 0.500
Mg 0.000 0.500 0.000
Mg 0.500 0.000 0.000
Zr 0.375 0.375 0.375
Zr 0.625 0.625 0.625